Record 1
Re3Mo2 (PBE, relaxed); symmetry = R-3m, No. 166; theoretical density = 16.2 g/cm³; M_tot = 0.000 μB per atom; E_form = 0.9 eV/f.u.
1.0
-1.709 -0.969 11.462
-1.345 -3.674 10.952
0.852 -2.041 11.417
Re Mo
3 2
Cartesian
0.000 0.000 0.000
-0.437 -1.327 6.715
-1.765 -5.358 27.116
-0.880 -2.671 13.517
-1.322 -4.014 20.314

=====

Record 2
CoNi2Br (PBE, relaxed); symmetry = F-43m, No. 216; theoretical density = 8.0 g/cm³; M_tot = 0.705 μB per atom; raw formation energy = 16.67 kcal/mol of atoms
1.0
-1.749 -3.029 2.365
0.932 -4.053 -0.732
2.363 -2.155 2.758
Ni Co Br
2 1 1
Cartesian
0.386 -2.309 1.097
0.000 0.000 0.000
1.159 -6.928 3.292
0.773 -4.618 2.195

=====

Record 3
Fe5Hg3 (PBE, relaxed); symmetry = Cmmm, No. 65; theoretical density = 11.9 g/cm³; M_tot = 1.624 μB per atom; E_form = 3.4 eV/f.u.
1.0
3.961 -4.124 0.000
3.961 4.124 0.000
0.000 0.000 3.770
Hg Fe
3 5
Cartesian
3.961 -2.178 1.885
3.961 2.178 1.885
3.961 0.000 0.000
6.035 0.000 1.885
0.000 0.000 0.000
1.888 0.000 1.885
1.981 -2.062 0.000
1.981 2.062 0.000

=====

Record 4
Cu2AsIr (PBE, relaxed); symmetry = Cmmm, No. 65; theoretical density = 11.3 g/cm³; M_tot = 0.000 μB per atom; E_form = 1.1 eV/f.u.
1.0
-1.577 -1.920 -1.228
1.848 -0.752 1.923
-6.036 0.999 6.193
As Cu Ir
1 2 1
Cartesian
-4.391 -0.587 4.992
-3.008 0.498 3.087
-0.009 0.002 0.010
-1.373 -1.086 1.896